[1]
## BaLa2ZnBr (PBE)

Data for crystalline BaLa2ZnBr at its relaxed geometry.

Calculated values
The formation energy without anion corrections comes out at -0.94 eV/f.u. For the total magnetization, the calculation gives 0.00 μB/cell. As for the volume: 39.4 Å³ per atom.

Structure (CIF):
```
data_BaLa2ZnBr
_chemical_formula_sum 'Ba1 La2 Zn1 Br1'
_symmetry_space_group_name_H-M 'P 1'
_symmetry_Int_Tables_number 1
_symmetry_space_group_name_Hall 'P 1'
_cell_length_a 5.686
_cell_length_b 5.686
_cell_length_c 6.088
_cell_angle_alpha 90.00
_cell_angle_beta 90.00
_cell_angle_gamma 90.00
loop_
_atom_site_label
_atom_site_fract_x
_atom_site_fract_y
_atom_site_fract_z
_atom_site_occupancy
Ba1 0.000 0.000 0.000 1
La1 0.000 0.500 0.500 1
La2 0.500 0.000 0.500 1
Zn1 0.500 0.500 0.000 1
Br1 0.000 0.000 0.500 1
```

[2]
## BaLa2ZrBr (PBE)

Data for crystalline BaLa2ZrBr at its relaxed geometry.

Calculated values
The formation energy without anion corrections comes out at 0.41 eV/f.u. For the total magnetization, the calculation gives 0.17 μB/cell. As for the volume: 38.9 Å³ per atom.

Structure (CIF):
```
data_BaLa2ZrBr
_chemical_formula_sum 'Ba1 La2 Zr1 Br1'
_symmetry_space_group_name_H-M 'P 1'
_symmetry_Int_Tables_number 1
_symmetry_space_group_name_Hall 'P 1'
_cell_length_a 5.706
_cell_length_b 5.706
_cell_length_c 5.979
_cell_angle_alpha 90.00
_cell_angle_beta 90.00
_cell_angle_gamma 90.00
loop_
_atom_site_label
_atom_site_fract_x
_atom_site_fract_y
_atom_site_fract_z
_atom_site_occupancy
Ba1 0.000 0.000 0.000 1
La1 0.000 0.500 0.500 1
La2 0.500 0.000 0.500 1
Zr1 0.500 0.500 0.000 1
Br1 0.000 0.000 0.500 1
```

[3]
## BaLi2Br (PBE)

Data for crystalline BaLi2Br at its relaxed geometry.

Calculated values
The formation energy without anion corrections comes out at -1.98 eV/f.u. For the total magnetization, the calculation gives 0.38 μB/cell. As for the volume: 31.1 Å³ per atom. The distance to the lowest polymorph of the same formula comes out at 0.144 eV per atom.

Structure (CIF):
```
data_BaLi2Br
_chemical_formula_sum 'Ba1 Li2 Br1'
_symmetry_space_group_name_H-M 'P 1'
_symmetry_Int_Tables_number 1
_symmetry_space_group_name_Hall 'P 1'
_cell_length_a 3.708
_cell_length_b 3.708
_cell_length_c 9.060
_cell_angle_alpha 90.00
_cell_angle_beta 90.00
_cell_angle_gamma 90.00
loop_
_atom_site_label
_atom_site_fract_x
_atom_site_fract_y
_atom_site_fract_z
_atom_site_occupancy
Ba1 0.000 0.000 0.000 1
Li1 0.500 0.500 0.331 1
Li2 0.500 0.500 0.669 1
Br1 0.000 0.000 0.500 1
```